No. 1
Compound: LiPmPt2
Source: the Alexandria database
Functional: GGA-PBE
Structure: optimized geometry

a = 4.4463 Å, b = 4.4463 Å, c = 9.1181 Å
α = 90.00°, β = 90.00°, γ = 120.00°
With the nearest neighbours (Å) after each atom.
Space group P6_3/mmc (No. 194)
One atom of each set of equivalent atoms:
Li: 0.0000 0.0000 0.0000 [2 per cell]  6 Pt 2.69
Pm: 0.3333 0.6667 0.2500 [2 per cell]  8 Pt 2.97-3.07
Pt: 0.3333 0.6667 0.5864 [4 per cell]  3 Li 2.69, 3 Pm 2.97, 1 Pt 2.98

Computed properties:
Calculated density (g/cm3): 11.53
Energy above the most stable polymorph in this dataset (meV/atom): 0.0
D(E_F) (states/eV per cell): 2.12

---

No. 2
Compound: Ac12CoAu6
Source: the Alexandria database
Functional: GGA-PBE
Structure: optimized geometry

a = 13.6765 Å, b = 13.6765 Å, c = 13.2090 Å
α = 90.00°, β = 90.00°, γ = 120.00°
With the nearest neighbours (Å) after each atom.
Space group R-3 (No. 148, hexagonal axes)
One atom of each set of equivalent atoms:
Ac: 0.0256 0.8181 0.3933 [18 per cell]  4 Au 3.08-3.42
Ac: 0.0457 0.8519 0.8824 [18 per cell]  1 Co 2.86, 1 Au 3.19
Co: 0.0000 0.0000 0.0000 [3 per cell]  6 Ac 2.86
Au: 0.0466 0.7724 0.6452 [18 per cell]  6 Ac 3.08-3.42

Computed properties:
Calculated density (g/cm3): 9.23
D(E_F) (states/eV per cell): 69.28
VASP energy (eV per atom): -4.44

---

No. 3
Compound: FeCoSN2
Source: the Alexandria database
Functional: GGA-PBE
Structure: optimized geometry

a = 3.4802 Å, b = 3.4802 Å, c = 5.1886 Å
α = 90.00°, β = 90.00°, γ = 90.00°
With the nearest neighbours (Å) after each atom.
Space group P4/mmm (No. 123)
One atom of each set of equivalent atoms:
Fe: 0.0000 0.0000 0.0000 [1 per cell]  4 N 1.74
Co: 0.5000 0.5000 0.5000 [1 per cell]  4 S 2.46
S: 0.0000 0.0000 0.5000 [1 per cell]  4 Co 2.46, 2 Fe 2.59
N: 0.0000 0.5000 0.0000 [2 per cell]  2 Fe 1.74

Computed properties:
Energy relative to the elements, uncorrected (kJ per mole of atoms): 86.3
Calculated density (g/cm3): 4.62
Energy above the most stable polymorph in this dataset (meV/atom): 0.0
D(E_F) (states/eV per cell): 6.07

---

No. 4
Compound: YTlSN2
Source: the Alexandria database
Functional: GGA-PBE
Structure: optimized geometry

a = 4.6787 Å, b = 4.6787 Å, c = 5.4131 Å
α = 90.00°, β = 90.00°, γ = 90.00°
With the nearest neighbours (Å) after each atom.
Space group P4/mmm (No. 123)
One atom of each set of equivalent atoms:
Y: 0.0000 0.0000 0.0000 [1 per cell]  4 N 2.34
Tl: 0.5000 0.5000 0.5000 [1 per cell]  4 S 3.31, 8 N 3.58
S: 0.0000 0.0000 0.5000 [1 per cell]  2 Y 2.71
N: 0.0000 0.5000 0.0000 [2 per cell]  2 Y 2.34

Computed properties:
Energy relative to the elements, uncorrected (kJ per mole of atoms): 44.5
Calculated density (g/cm3): 4.95
Energy above the most stable polymorph in this dataset (meV/atom): 0.0
D(E_F) (states/eV per cell): 2.27

---

No. 5
Compound: CuWAu3
Source: the Alexandria database
Functional: GGA-PBE
Structure: optimized geometry

a = 4.6882 Å, b = 4.6882 Å, c = 4.6882 Å
α = 90.00°, β = 90.00°, γ = 90.00°
With the nearest neighbours (Å) after each atom.
Space group Pm-3m (No. 221)
One atom of each set of equivalent atoms:
Cu: 0.0000 0.0000 0.0000 [1 per cell]  6 Au 2.34
W: 0.5000 0.5000 0.5000 [1 per cell]  12 Au 3.32
Au: 0.0000 0.0000 0.5000 [3 per cell]  2 Cu 2.34

Computed properties:
Calculated density (g/cm3): 13.51
Energy above the most stable polymorph in this dataset (meV/atom): 0.0
D(E_F) (states/eV per cell): 3.07

---

No. 6
Compound: MgPt2Rh
Source: the Alexandria database
Functional: GGA-PBE
Structure: optimized geometry

a = 2.8029 Å, b = 4.7031 Å, c = 9.4872 Å
α = 90.00°, β = 90.00°, γ = 90.00°
With the nearest neighbours (Å) after each atom.
Space group Imm2 (No. 44)
One atom of each set of equivalent atoms:
Mg: 0.0000 0.0000 0.0000 [2 per cell]  6 Pt 2.74-2.77, 2 Rh 2.79, 2 Mg 2.80
Pt: 0.0000 0.0000 0.5033 [2 per cell]  2 Rh 2.69, 4 Mg 2.74, 4 Pt 2.77-2.80
Pt: 0.0000 0.5000 0.7514 [2 per cell]  4 Rh 2.74, 2 Mg 2.77, 4 Pt 2.77-2.80
Rh: 0.0000 0.5000 0.2456 [2 per cell]  6 Pt 2.69-2.74, 2 Mg 2.79, 2 Rh 2.80

Computed properties:
Calculated density (g/cm3): 13.74
D(E_F) (states/eV per cell): 6.87
VASP energy (eV per atom): -5.59